# 1
DFT (PBE) results for a geometry-optimized KLi2NiP structure.

Lattice parameters (Å, degrees): 4.853 4.300 4.853 90.00 90.00 90.00
Positions (direct):
K (0.500, 0.500, 0.500)
P (0.000, 0.000, 0.000)
Ni (0.000, 0.500, 0.000)
Li (0.000, 0.000, 0.500)
Li (0.500, 0.000, 0.000)

Properties
**Formation enthalpy at 0 K**: -26.6 kJ/mol of atoms
**D(E_F)**: 1.49 states/eV per cell
**Theoretical density**: 2.34 g/cm3

---

# 2
DFT (PBE) results for a geometry-optimized La2BePd structure.

Lattice parameters (Å, degrees): 7.852 7.852 6.526 53.02 53.02 90.00
Positions (direct):
La (0.875, 0.884, 0.750)
Be (0.500, 0.500, 0.000)
La (0.375, 0.366, 0.750)
La (0.634, 0.125, 0.250)
Be (0.250, 0.750, 0.500)
Pd (0.000, 0.000, 0.000)
Pd (0.750, 0.250, 0.500)
La (0.116, 0.625, 0.250)

Properties
**Formation enthalpy at 0 K**: 10.4 kJ/mol of atoms
**D(E_F)**: 10.05 states/eV per cell
**Theoretical density**: 6.18 g/cm3

---

# 3
DFT (PBE) results for a geometry-optimized LaMgBe structure.

Lattice parameters (Å, degrees): 6.671 6.671 3.278 75.78 75.78 28.44
Positions (direct):
Mg (0.632, 0.632, 0.368)
Be (0.013, 0.013, 0.987)
La (0.355, 0.355, 0.645)

Properties
**Formation enthalpy at 0 K**: 18.2 kJ/mol of atoms
**D(E_F)**: 2.45 states/eV per cell
**Theoretical density**: 4.26 g/cm3
**Energy relative to the lowest polymorph listed for this composition**: 2 meV per atom

---

# 4
DFT (PBE) results for a geometry-optimized InSiH structure.

Lattice parameters (Å, degrees): 6.453 6.640 4.602 90.00 90.00 90.00
Positions (direct):
Si (0.928, 0.250, 0.500)
H (0.665, 0.250, 0.999)
Si (0.072, 0.750, 0.500)
In (0.500, 0.000, 0.500)
In (0.000, 0.000, 0.000)
Si (0.428, 0.250, 0.000)
H (0.835, 0.750, 0.499)
H (0.165, 0.250, 0.501)
Si (0.572, 0.750, 0.000)
H (0.335, 0.750, 0.001)
In (0.500, 0.500, 0.500)
In (0.000, 0.500, 0.000)

Properties
**D(E_F)**: 1.64 states/eV per cell
**Theoretical density**: 4.85 g/cm3
**Energy relative to the lowest polymorph listed for this composition**: 220 meV per atom

---

| no. | total magnetic moment (μB per formula unit) |
| --- | --- |
| 1 | 0.00 |
| 2 | 0.00 |
| 3 | 0.00 |
| 4 | 0.00 |